1.
Entry from Alexandria via LeMat-Bulk: Be2Re2W after structural relaxation (PBE-GGA).

Properties
Calculated formation energy, eV/atom: -0.174
Calculated total energy, eV/atom: -9.2348
Size of the total moment, Bohr magnetons per cell: 0.00
ΔE to the lowest computed polymorph, eV per formula unit: 0.000

Lattice parameters (Å, degrees): 6.2637 6.2637 3.0809 90.00 90.00 90.00
Space group P4/mbm (No. 127)
Inequivalent atoms, fractional coordinates:
Be 0.1202 0.3798 0.0000 (multiplicity 4)
Re 0.1714 0.6714 0.5000 (multiplicity 4)
W 0.0000 0.0000 0.0000 (multiplicity 2)

=====

2.
Entry from Alexandria via LeMat-Bulk: Be2ReW after structural relaxation (PBE-GGA).

Properties
Calculated formation energy, eV/atom: 0.343
Calculated total energy, eV/atom: -7.8705
Size of the total moment, Bohr magnetons per cell: 0.00
ΔE to the lowest computed polymorph, eV per formula unit: 2.233

Lattice parameters (Å, degrees): 2.7086 2.7086 24.4066 90.00 90.00 120.00
Space group R-3m (No. 166, hexagonal axes)
Inequivalent atoms, fractional coordinates:
Be 0.0000 0.0000 0.2481 (multiplicity 6)
Re 0.0000 0.0000 0.5000 (multiplicity 3)
W 0.0000 0.0000 0.0000 (multiplicity 3)